DFT (PBE-GGA) results for an optimized crystal structure of Pu3MgC.

Cell lengths 4.9023, 4.9023, 4.9023 Å; angles 90.00, 90.00, 90.00 degrees
Sites, in units of the cell vectors:
Pu 0.0000 0.0000 0.5000
Pu 0.0000 0.5000 0.0000
Pu 0.5000 0.0000 0.0000
Mg 0.5000 0.5000 0.5000
C 0.0000 0.0000 0.0000

Summary:
For the formation energy from the elements, the calculation gives 0.153 eV/atom. Its total moment is 16.5 μB/cell. For the density of states at the Fermi level, the calculation gives 15.62 states/eV/f.u. The space group is No. 221.

DFT (PBE-GGA) results for an optimized crystal structure of PuMgC.

Cell lengths 3.5339, 3.5339, 8.5937 Å; angles 90.00, 90.00, 90.00 degrees
Sites, in units of the cell vectors:
Pu 0.2500 0.2500 0.1436
Pu 0.7500 0.7500 0.8564
Mg 0.2500 0.2500 0.6040
Mg 0.7500 0.7500 0.3960
C 0.2500 0.2500 0.8703
C 0.7500 0.7500 0.1297

Summary:
For the formation energy from the elements, the calculation gives 0.063 eV/atom. Its total moment is 9.1 μB/cell. For the density of states at the Fermi level, the calculation gives 6.34 states/eV/f.u. The space group is No. 129. Its polymorph energy (0 for the lowest one) is 0 meV per atom.

DFT (PBE-GGA) results for an optimized crystal structure of Pu2MgC.

Cell lengths 3.1106, 3.1106, 8.3173 Å; angles 90.00, 90.00, 90.00 degrees
Sites, in units of the cell vectors:
Pu 0.0000 0.0000 0.1652
Pu 0.0000 0.0000 0.8348
Mg 0.5000 0.5000 0.5000
C 0.5000 0.5000 0.0000

Summary:
For the formation energy from the elements, the calculation gives 0.149 eV/atom. Its total moment is 10.6 μB/cell. For the density of states at the Fermi level, the calculation gives 8.91 states/eV/f.u. The space group is No. 123.